A plane-wave DFT calculation with PBE was carried out for crystalline Ce2SnRh at its relaxed geometry.

Lattice parameters (Å, degrees): 4.4294 4.4294 4.5664 90.00 90.00 90.00
With the nearest neighbours (Å) after each atom.
Space group P4/mmm (No. 123)
Unique sites:
Ce 0.0000 0.5000 0.0000 x2  4 Ce 3.13, 4 Sn 3.18, 4 Rh 3.18
Sn 0.0000 0.0000 0.5000 x1  4 Rh 3.13, 8 Ce 3.18
Rh 0.5000 0.5000 0.5000 x1  4 Sn 3.13, 8 Ce 3.18

Energy in Ry per atom: -0.468
Magnetization in μB per atom: 0.0001

=====

A plane-wave DFT calculation with PBE was carried out for crystalline Ba2Bi2Pd3 at its relaxed geometry.

Lattice parameters (Å, degrees): 12.3205 4.6527 7.5785 90.00 115.45 90.00
With the nearest neighbours (Å) after each atom.
Space group C2/m (No. 12)
Unique sites:
Ba 0.1326 0.0000 0.2561 x4  6 Pd 3.40-3.75, 4 Bi 3.47-3.63
Bi 0.1500 0.0000 0.7468 x4  5 Pd 2.79-3.06
Pd 0.0000 0.5000 0.5000 x2  2 Pd 2.86, 4 Bi 3.06
Pd 0.1153 0.5000 0.9181 x4  3 Bi 2.79-2.92, 1 Pd 2.86

Energy in Ry per atom: -0.327
Magnetization in μB per atom: 0.0000

=====

A plane-wave DFT calculation with PBE was carried out for crystalline Th2CdNi at its relaxed geometry.

Lattice parameters (Å, degrees): 3.4173 3.4173 8.4365 90.00 90.00 90.00
With the nearest neighbours (Å) after each atom.
Space group P4/mmm (No. 123)
Unique sites:
Th 0.0000 0.0000 0.2092 x2  4 Ni 2.99
Cd 0.5000 0.5000 0.5000 x1  4 Cd 3.42, 8 Th 3.44
Ni 0.5000 0.5000 0.0000 x1  8 Th 2.99

Energy above the most stable polymorph in this dataset in meV per atom: 0
Energy in Ry per atom: -0.409
Magnetization in μB per atom: 0.0000

=====

A plane-wave DFT calculation with PBE was carried out for crystalline KOsPt2 at its relaxed geometry.

Lattice parameters (Å, degrees): 2.8023 2.8023 9.3358 90.00 90.00 90.00
With the nearest neighbours (Å) after each atom.
Space group P4mm (No. 99)
Unique sites:
K 0.0000 0.0000 0.0000 x1  4 K 2.80
Os 0.5000 0.5000 0.3042 x1  4 Pt 2.68, 4 Os 2.80
Pt 0.0000 0.0000 0.4969 x1  4 Os 2.68, 8 Pt 2.80-2.83
Pt 0.5000 0.5000 0.7133 x1  8 Pt 2.80-2.83

Energy above the most stable polymorph in this dataset in meV per atom: 205
Energy in Ry per atom: -0.414
Magnetization in μB per atom: 0.0000

=====

A plane-wave DFT calculation with PBE was carried out for crystalline GaW3I at its relaxed geometry.

Lattice parameters (Å, degrees): 4.8752 4.8752 4.8752 90.00 90.00 90.00
With the nearest neighbours (Å) after each atom.
Space group Pm-3m (No. 221)
Unique sites:
Ga 0.0000 0.0000 0.0000 x1  12 W 3.45
W 0.0000 0.5000 0.5000 x3  2 I 2.44
I 0.5000 0.5000 0.5000 x1  6 W 2.44

Uncorrected formation energy in kJ per mole of atoms: 271
Energy above the most stable polymorph in this dataset in meV per atom: 565
Energy in Ry per atom: -0.432
Magnetization in μB per atom: 0.0000

=====

A plane-wave DFT calculation with PBE was carried out for crystalline Pm6GeSe3S2 at its relaxed geometry.

Lattice parameters (Å, degrees): 7.1615 12.3991 7.2999 90.00 109.05 90.00
With the nearest neighbours (Å) after each atom.
Space group C2/m (No. 12)
Unique sites:
Pm 0.2425 0.0000 0.2329 x4  2 S 2.87, 1 Ge 2.89, 3 Se 3.00-3.01
Pm 0.2452 0.3324 0.2339 x8  2 S 2.87-2.88, 1 Ge 2.89, 3 Se 3.01-3.02
Ge 0.0000 0.5000 0.0000 x2  6 Pm 2.89
Se 0.0000 0.0000 0.5000 x2  6 Pm 3.00-3.02
Se 0.0000 0.3346 0.5000 x4  6 Pm 3.01
S 0.0000 0.1669 0.0000 x4  6 Pm 2.87-2.88

Uncorrected formation energy in kJ per mole of atoms: -173
Energy in Ry per atom: -0.449
Magnetization in μB per atom: 0.0000

=====

A plane-wave DFT calculation with PBE was carried out for crystalline La2CeY at its relaxed geometry.

Lattice parameters (Å, degrees): 8.2396 8.2396 8.2396 90.00 90.00 90.00
With the nearest neighbours (Å) after each atom.
Space group Fm-3m (No. 225)
Unique sites:
La 0.2500 0.2500 0.2500 x8  4 Ce 3.57, 4 Y 3.57
Ce 0.0000 0.0000 0.0000 x4  8 La 3.57
Y 0.0000 0.0000 0.5000 x4  8 La 3.57

Energy above the most stable polymorph in this dataset in meV per atom: 136
Energy in Ry per atom: -0.395
Magnetization in μB per atom: 0.7872

=====

A plane-wave DFT calculation with PBE was carried out for crystalline KGaAs2 at its relaxed geometry.

Lattice parameters (Å, degrees): 3.5878 3.5878 28.7232 90.00 90.00 120.00
With the nearest neighbours (Å) after each atom.
Space group R-3m (No. 166, hexagonal axes)
Unique sites:
K 0.0000 0.0000 0.0000 x3  2 As 3.13
Ga 0.0000 0.0000 0.5000 x3  6 As 2.65
As 0.0000 0.0000 0.1091 x6  3 Ga 2.65

Energy in Ry per atom: -0.237
Magnetization in μB per atom: 0.0000

=====

A plane-wave DFT calculation with PBE was carried out for crystalline LaTc2Ni at its relaxed geometry.

Lattice parameters (Å, degrees): 4.4875 4.4875 17.6153 90.00 90.00 90.00
With the nearest neighbours (Å) after each atom.
Space group I-42d (No. 122)
Unique sites:
La 0.0000 0.0000 0.0000 x4  8 Tc 3.16-3.53, 4 Ni 3.17
Tc 0.0619 0.2500 0.6250 x8  2 Tc 2.31, 2 Ni 2.49
Ni 0.0000 0.0000 0.5000 x4  4 Tc 2.49

Energy above the most stable polymorph in this dataset in meV per atom: 476
Energy in Ry per atom: -0.539
Magnetization in μB per atom: 0.0000

=====

A plane-wave DFT calculation with PBE was carried out for crystalline VGeRh6 at its relaxed geometry.

Lattice parameters (Å, degrees): 5.4280 5.4280 3.8077 90.00 90.00 90.00
With the nearest neighbours (Å) after each atom.
Space group P4/mmm (No. 123)
Unique sites:
V 0.0000 0.0000 0.0000 x1  12 Rh 2.68-2.71
Ge 0.5000 0.5000 0.0000 x1  12 Rh 2.71-2.73
Rh 0.0000 0.5000 0.0000 x2  8 Rh 2.70, 2 Ge 2.71, 2 V 2.71
Rh 0.2459 0.2459 0.5000 x4  8 Rh 2.67-2.76, 2 V 2.68, 2 Ge 2.73

Energy in Ry per atom: -0.556
Magnetization in μB per atom: 0.0000

=====

A plane-wave DFT calculation with PBE was carried out for crystalline Th8OsC3S4 at its relaxed geometry.

Lattice parameters (Å, degrees): 7.8753 7.8753 20.0423 90.00 90.00 120.00
With the nearest neighbours (Å) after each atom.
Space group R-3m (No. 166, hexagonal axes)
Unique sites:
Th 0.0000 0.0000 0.2380 x6  3 C 2.69, 3 S 2.97
Th 0.0144 0.5072 0.7593 x18  2 C 2.68, 1 Os 2.80, 3 S 2.86-2.97
Os 0.0000 0.0000 0.5000 x3  6 Th 2.80
C 0.0000 0.5000 0.5000 x9  6 Th 2.68-2.69
S 0.0000 0.0000 0.0000 x3  6 Th 2.86
S 0.0000 0.5000 0.0000 x9  6 Th 2.97

Uncorrected formation energy in kJ per mole of atoms: -107
Energy in Ry per atom: -0.608
Magnetization in μB per atom: 0.0000

=====

A plane-wave DFT calculation with PBE was carried out for crystalline Y2AlCu at its relaxed geometry.

Lattice parameters (Å, degrees): 4.3955 4.3955 17.3186 90.00 90.00 120.00
With the nearest neighbours (Å) after each atom.
Space group R3m (No. 160, hexagonal axes)
Unique sites:
Y 0.0000 0.0000 0.0000 x3  3 Al 2.97, 3 Cu 3.13
Y 0.0000 0.0000 0.1922 x3  3 Cu 2.95, 3 Al 3.11
Al 0.0000 0.0000 0.4220 x3  3 Cu 2.55
Cu 0.0000 0.0000 0.7722 x3  3 Al 2.55

Energy in Ry per atom: -0.397
Magnetization in μB per atom: 0.0000

=====

A plane-wave DFT calculation with PBE was carried out for crystalline Y2HgSb at its relaxed geometry.

Lattice parameters (Å, degrees): 3.5590 3.5590 31.5583 90.00 90.00 120.00
With the nearest neighbours (Å) after each atom.
Space group R3m (No. 160, hexagonal axes)
Unique sites:
Y 0.0000 0.0000 0.0000 x3  3 Sb 3.32, 9 Y 3.49-3.56
Y 0.0000 0.0000 0.2438 x3  3 Hg 3.23, 9 Y 3.49-3.56
Hg 0.0000 0.0000 0.4981 x3  3 Y 3.23, 3 Sb 3.31, 6 Hg 3.56
Sb 0.0000 0.0000 0.7493 x3  3 Hg 3.31, 3 Y 3.32, 6 Sb 3.56

Uncorrected formation energy in kJ per mole of atoms: -19
Energy above the most stable polymorph in this dataset in meV per atom: 594
Energy in Ry per atom: -0.333
Magnetization in μB per atom: 0.1070

=====

A plane-wave DFT calculation with PBE was carried out for crystalline PmScCdCu at its relaxed geometry.

Lattice parameters (Å, degrees): 7.1496 7.1496 7.1496 90.00 90.00 90.00
With the nearest neighbours (Å) after each atom.
Space group F-43m (No. 216)
Unique sites:
Pm 0.0000 0.0000 0.0000 x4  4 Cu 3.10, 4 Cd 3.10
Sc 0.0000 0.0000 0.5000 x4  4 Cd 3.10, 4 Cu 3.10
Cd 0.2500 0.2500 0.7500 x4  4 Pm 3.10, 4 Sc 3.10
Cu 0.2500 0.2500 0.2500 x4  4 Pm 3.10, 4 Sc 3.10

Energy in Ry per atom: -0.309
Magnetization in μB per atom: 0.0000

=====

A plane-wave DFT calculation with PBE was carried out for crystalline YTcC2 at its relaxed geometry.

Lattice parameters (Å, degrees): 5.7510 5.7510 5.7510 90.00 90.00 90.00
With the nearest neighbours (Å) after each atom.
Space group Fm-3m (No. 225)
Unique sites:
Y 0.0000 0.0000 0.0000 x4  8 C 2.49
Tc 0.0000 0.0000 0.5000 x4  8 C 2.49
C 0.2500 0.2500 0.2500 x8  4 Tc 2.49, 4 Y 2.49

Energy above the most stable polymorph in this dataset in meV per atom: 912
Energy in Ry per atom: -0.589
Magnetization in μB per atom: 0.0000

=====

A plane-wave DFT calculation with PBE was carried out for crystalline Nd4ZnGa3 at its relaxed geometry.

Lattice parameters (Å, degrees): 4.2292 4.4046 11.3270 90.00 90.00 90.00
With the nearest neighbours (Å) after each atom.
Space group Pmm2 (No. 25)
Unique sites:
Nd 0.0000 0.0000 0.0000 x1  5 Ga 3.16-3.25, 2 Zn 3.23
Nd 0.0000 0.5000 0.4992 x1  6 Ga 3.16-3.26, 1 Zn 3.30
Nd 0.5000 0.0000 0.7142 x1  4 Zn 3.17, 3 Ga 3.24-3.29
Nd 0.5000 0.5000 0.2147 x1  7 Ga 3.16-3.27
Zn 0.0000 0.5000 0.7909 x1  2 Ga 2.63
Ga 0.0000 0.0000 0.2870 x1  2 Ga 2.65
Ga 0.5000 0.0000 0.4280 x1  2 Ga 2.65
Ga 0.5000 0.5000 0.9295 x1  2 Zn 2.63

Energy above the most stable polymorph in this dataset in meV per atom: 11
Energy in Ry per atom: -0.306
Magnetization in μB per atom: 0.0002

=====

A plane-wave DFT calculation with PBE was carried out for crystalline K2AgPb at its relaxed geometry.

Lattice parameters (Å, degrees): 5.1667 5.1667 19.4324 90.00 90.00 120.00
With the nearest neighbours (Å) after each atom.
Space group R3m (No. 160, hexagonal axes)
Unique sites:
K 0.0000 0.0000 0.0000 x3  3 Pb 3.62, 3 Ag 3.63, 3 K 3.82
K 0.0000 0.0000 0.2102 x3  3 Ag 3.60, 3 Pb 3.61, 3 K 3.82
Ag 0.0000 0.0000 0.7727 x3  3 Pb 2.98
Pb 0.0000 0.0000 0.4385 x3  3 Ag 2.98

Energy in Ry per atom: -0.165
Magnetization in μB per atom: 0.0063

=====

A plane-wave DFT calculation with PBE was carried out for crystalline Tb5AlCd4 at its relaxed geometry.

Lattice parameters (Å, degrees): 3.7168 3.7168 18.8095 90.00 90.00 90.00
With the nearest neighbours (Å) after each atom.
Space group P4/mmm (No. 123)
Unique sites:
Tb 0.0000 0.0000 0.0000 x1  8 Cd 3.25
Tb 0.0000 0.0000 0.2030 x2  8 Cd 3.25
Tb 0.0000 0.0000 0.4065 x2  4 Al 3.16, 4 Cd 3.25, 1 Tb 3.52
Al 0.5000 0.5000 0.5000 x1  8 Tb 3.16
Cd 0.5000 0.5000 0.1017 x2  8 Tb 3.25
Cd 0.5000 0.5000 0.3047 x2  8 Tb 3.25

Energy in Ry per atom: -0.249
Magnetization in μB per atom: 0.0059

=====

A plane-wave DFT calculation with PBE was carried out for crystalline Sr4Rh3O10 at its relaxed geometry.

Lattice parameters (Å, degrees): 4.0137 4.0137 28.3207 90.00 90.00 90.00
With the nearest neighbours (Å) after each atom.
Space group I4/mmm (No. 139)
Unique sites:
Sr 0.0000 0.0000 0.0688 x4  12 O 2.80-2.84
Sr 0.0000 0.0000 0.2012 x4  5 O 2.45-2.68
Rh 0.0000 0.0000 0.3581 x4  6 O 2.00-2.05
Rh 0.0000 0.0000 0.5000 x2  6 O 1.97-2.01
O 0.0000 0.0000 0.2876 x4  1 Rh 2.00
O 0.0000 0.0000 0.4305 x4  2 Rh 1.97-2.05
O 0.0000 0.5000 0.0000 x4  2 Rh 2.01
O 0.0000 0.5000 0.1385 x8  2 Rh 2.01

Uncorrected formation energy in kJ per mole of atoms: -163
Energy in Ry per atom: -0.463
Magnetization in μB per atom: 0.2461

=====

A plane-wave DFT calculation with PBE was carried out for crystalline HfBe2Nb2 at its relaxed geometry.

Lattice parameters (Å, degrees): 6.7014 6.7014 3.3600 90.00 90.00 90.00
With the nearest neighbours (Å) after each atom.
Space group P4/mbm (No. 127)
Unique sites:
Hf 0.0000 0.0000 0.0000 x2  4 Be 2.70, 8 Nb 2.99
Be 0.1126 0.3874 0.0000 x4  1 Be 2.13
Nb 0.1762 0.6762 0.5000 x4  6 Be 2.60-2.61

Energy above the most stable polymorph in this dataset in meV per atom: 0
Energy in Ry per atom: -0.558
Magnetization in μB per atom: 0.0000

=====

A plane-wave DFT calculation with PBE was carried out for crystalline TaFeBr2 at its relaxed geometry.

Lattice parameters (Å, degrees): 4.5970 4.5970 3.3195 90.00 90.00 90.00
With the nearest neighbours (Å) after each atom.
Space group P4/mmm (No. 123)
Unique sites:
Ta 0.0000 0.0000 0.0000 x1  8 Br 2.84
Fe 0.5000 0.5000 0.0000 x1  8 Br 2.84
Br 0.0000 0.5000 0.5000 x2  4 Ta 2.84, 4 Fe 2.84

Uncorrected formation energy in kJ per mole of atoms: 85
Energy above the most stable polymorph in this dataset in meV per atom: 872
Energy in Ry per atom: -0.370
Magnetization in μB per atom: 0.3910

=====

A plane-wave DFT calculation with PBE was carried out for crystalline La2Nd3NpN6 at its relaxed geometry.

Lattice parameters (Å, degrees): 6.3122 10.9310 6.2583 90.00 109.66 90.00
With the nearest neighbours (Å) after each atom.
Space group C2/m (No. 12)
Unique sites:
La 0.0000 0.1663 0.0000 x4  6 N 2.61
Nd 0.0000 0.0000 0.5000 x2  6 N 2.56-2.77
Nd 0.0000 0.3362 0.5000 x4  4 N 2.51-2.55
Np 0.0000 0.5000 0.0000 x2  6 N 2.29-2.37
N 0.2229 0.3530 0.2281 x8  1 Np 2.29, 2 Nd 2.55-2.56
N 0.2229 0.5000 0.7618 x4  1 Np 2.37, 2 Nd 2.51, 2 La 2.61

Uncorrected formation energy in kJ per mole of atoms: -128
Energy in Ry per atom: -0.631
Magnetization in μB per atom: 0.1821

=====

A plane-wave DFT calculation with PBE was carried out for crystalline BiBTeN2 at its relaxed geometry.

Lattice parameters (Å, degrees): 4.2282 4.2282 6.5774 90.00 90.00 90.00
With the nearest neighbours (Å) after each atom.
Space group P4/mmm (No. 123)
Unique sites:
Bi 0.0000 0.0000 0.0000 x1  4 N 2.11
B 0.5000 0.5000 0.5000 x1  4 Te 2.99
Te 0.0000 0.0000 0.5000 x1  4 B 2.99, 2 Bi 3.29
N 0.0000 0.5000 0.0000 x2  2 Bi 2.11

Uncorrected formation energy in kJ per mole of atoms: 222
Energy above the most stable polymorph in this dataset in meV per atom: 480
Energy in Ry per atom: -0.277
Magnetization in μB per atom: 0.3723

=====

A plane-wave DFT calculation with PBE was carried out for crystalline BaAg2RhCl8 at its relaxed geometry.

Lattice parameters (Å, degrees): 5.9956 6.7132 8.6781 92.38 95.03 111.16
With the nearest neighbours (Å) after each atom.
Space group P-1 (No. 2)
Unique sites:
Ba 0.0000 0.0000 0.0000 x1  6 Cl 3.10-3.17
Ag 0.0436 0.5060 0.7276 x2  4 Cl 2.48-2.75
Rh 0.0000 0.0000 0.5000 x1  6 Cl 2.35-2.37
Cl 0.2245 0.2426 0.3311 x2  1 Rh 2.36
Cl 0.2302 0.7841 0.4757 x2  1 Rh 2.35, 1 Ag 2.55
Cl 0.2611 0.2129 0.7146 x2  1 Rh 2.37
Cl 0.2933 0.7061 0.9669 x2  1 Ag 2.48

Uncorrected formation energy in kJ per mole of atoms: -93
Energy in Ry per atom: -0.253
Magnetization in μB per atom: 0.0001

=====

A plane-wave DFT calculation with PBE was carried out for crystalline Dy5RhSe4 at its relaxed geometry.

Lattice parameters (Å, degrees): 4.0620 4.0620 29.0957 90.00 90.00 90.00
With the nearest neighbours (Å) after each atom.
Space group I4/mmm (No. 139)
Unique sites:
Dy 0.0000 0.0000 0.0000 x2  4 Rh 2.87, 2 Se 3.04
Dy 0.0000 0.0000 0.2057 x4  6 Se 2.89-2.94
Dy 0.0000 0.0000 0.4075 x4  1 Rh 2.69, 5 Se 2.89-2.97
Rh 0.0000 0.0000 0.5000 x2  6 Dy 2.69-2.87
Se 0.0000 0.0000 0.1046 x4  6 Dy 2.89-3.04
Se 0.0000 0.0000 0.3055 x4  6 Dy 2.89-2.97

Uncorrected formation energy in kJ per mole of atoms: -150
Energy in Ry per atom: -0.440
Magnetization in μB per atom: 0.0000